# TbTiHg2

Crystalline TbTiHg2 at its relaxed geometry (PBE, the Alexandria database).

Summary:
Energy above the lowest structure with this stoichiometry in kJ per mole of atoms: 0.1
Total magnetic moment in μB/atom: 0.428
Formation energy in eV/f.u.: -0.738
Calculated density in g/cm3: 11.11

a = 5.0458 Å, b = 5.0458 Å, c = 5.0458 Å
α = 60.00°, β = 60.00°, γ = 60.00°
Closest atoms and distances in Å follow each position.
Sites, in units of the cell vectors:
Tb (0.0000, 0.0000, 0.0000)  8 Hg 3.09
Ti (0.5000, 0.5000, 0.5000)  8 Hg 3.09
Hg (0.2500, 0.2500, 0.2500)  4 Tb 3.09, 4 Ti 3.09
Hg (0.7500, 0.7500, 0.7500)  4 Tb 3.09, 4 Ti 3.09